1.
The following is a DFT calculation (GGA-PBEsol) of BiB3O6 after structural relaxation.

Values from the calculation:
- Energy relative to the elements, uncorrected: -2.174 eV per atom
- Energy above the most stable polymorph in this dataset: 46 kJ/mol of formula units
- VASP energy: -7.857 eV per atom
- N(E_F): 0.000 states/eV/f.u.

Cell and atoms, written as CIF:
```
data_BiB3O6
_cell_length_a 4.3648
_cell_length_b 4.3684
_cell_length_c 6.5565
_cell_angle_alpha 78.27
_cell_angle_beta 77.98
_cell_angle_gamma 72.47
_symmetry_space_group_name_H-M 'P 1'
_symmetry_Int_Tables_number 1
loop_
_symmetry_equiv_pos_as_xyz
'x,y,z'
loop_
_atom_site_label
_atom_site_fract_x
_atom_site_fract_y
_atom_site_fract_z
Bi1 0.0000 0.0000 0.0000
B1 0.3118 0.1842 0.3061
B2 0.7200 0.2760 0.5018
B3 0.8130 0.6854 0.6968
O1 0.4068 0.2880 0.4560
O2 0.4907 0.0825 0.1215
O3 0.7067 0.5891 0.5486
O4 0.8014 0.0140 0.6843
O5 0.9174 0.5081 0.8801
O6 0.9831 0.1950 0.3184
```


2.
The following is a DFT calculation (GGA-PBEsol) of Bi2B3O9 after structural relaxation.

Values from the calculation:
- Energy relative to the elements, uncorrected: -1.658 eV per atom
- VASP energy: -7.148 eV per atom
- N(E_F): 4.821 states/eV/f.u.

Cell and atoms, written as CIF:
```
data_Bi2B3O9
_cell_length_a 6.2268
_cell_length_b 6.2268
_cell_length_c 9.1610
_cell_angle_alpha 90.00
_cell_angle_beta 90.00
_cell_angle_gamma 120.00
_symmetry_space_group_name_H-M 'P 63/m c m'
_symmetry_Int_Tables_number 193
_symmetry_space_group_name_Hall '-P 6c 2'
loop_
_atom_site_label
_atom_site_fract_x
_atom_site_fract_y
_atom_site_fract_z
Bi1 0.3333 0.6667 0.0000
B1 0.0000 0.2319 0.2500
O1 0.0000 0.2263 0.7500
O2 0.0000 0.3699 0.1144
```


3.
The following is a DFT calculation (GGA-PBEsol) of BiBO3 after structural relaxation.

Values from the calculation:
- Energy relative to the elements, uncorrected: 0.498 eV per atom
- VASP energy: -4.912 eV per atom
- N(E_F): 2.347 states/eV/f.u.

Cell and atoms, written as CIF:
```
data_BiBO3
_cell_length_a 4.1562
_cell_length_b 4.1562
_cell_length_c 4.1562
_cell_angle_alpha 90.00
_cell_angle_beta 90.00
_cell_angle_gamma 90.00
_symmetry_space_group_name_H-M 'P m -3 m'
_symmetry_Int_Tables_number 221
_symmetry_space_group_name_Hall '-P 4 2 3'
loop_
_atom_site_label
_atom_site_fract_x
_atom_site_fract_y
_atom_site_fract_z
Bi1 0.0000 0.0000 0.0000
B1 0.5000 0.5000 0.5000
O1 0.0000 0.0000 0.5000
```


4.
The following is a DFT calculation (GGA-PBEsol) of Bi3B6O14 after structural relaxation.

Values from the calculation:
- Energy relative to the elements, uncorrected: -2.000 eV per atom
- VASP energy: -7.584 eV per atom
- N(E_F): 4.725 states/eV/f.u.

Cell and atoms, written as CIF:
```
data_Bi3B6O14
_cell_length_a 6.4202
_cell_length_b 6.5447
_cell_length_c 6.5842
_cell_angle_alpha 90.66
_cell_angle_beta 91.66
_cell_angle_gamma 119.24
_symmetry_space_group_name_H-M 'P 1'
_symmetry_Int_Tables_number 1
loop_
_symmetry_equiv_pos_as_xyz
'x,y,z'
loop_
_atom_site_label
_atom_site_fract_x
_atom_site_fract_y
_atom_site_fract_z
Bi1 0.0000 0.0000 0.0000
Bi2 0.2285 0.6522 0.2915
Bi3 0.6070 0.1902 0.6853
B1 0.1670 0.5828 0.8358
B2 0.4536 0.4555 0.0196
B3 0.5621 0.6430 0.6768
B4 0.6015 0.1968 0.1785
B5 0.7145 0.5967 0.3274
B6 0.9905 0.9215 0.5750
O1 0.1380 0.7386 0.9848
O2 0.1931 0.0639 0.6821
O3 0.2122 0.4271 0.9810
O4 0.3811 0.7120 0.7099
O5 0.4003 0.2335 0.1071
O6 0.5240 0.0240 0.3410
O7 0.5488 0.5179 0.4905
O8 0.5801 0.4961 0.8343
O9 0.5995 0.6573 0.1592
O10 0.6864 0.1208 0.0055
O11 0.7844 0.4255 0.2691
O12 0.7875 0.8779 0.6816
O13 0.9573 0.8165 0.3841
O14 0.9844 0.4582 0.6799
```


5.
The following is a DFT calculation (GGA-PBEsol) of Bi2B2O7 after structural relaxation.

Values from the calculation:
- Energy relative to the elements, uncorrected: -1.572 eV per atom
- VASP energy: -6.967 eV per atom

Cell and atoms, written as CIF:
```
data_Bi2B2O7
_cell_length_a 6.3340
_cell_length_b 6.5044
_cell_length_c 7.3578
_cell_angle_alpha 78.73
_cell_angle_beta 80.31
_cell_angle_gamma 87.34
_symmetry_space_group_name_H-M 'P -1'
_symmetry_Int_Tables_number 2
loop_
_symmetry_equiv_pos_as_xyz
'x,y,z'
'-x,-y,-z'
loop_
_atom_site_label
_atom_site_fract_x
_atom_site_fract_y
_atom_site_fract_z
Bi1 0.0937 0.2566 0.2641
Bi2 0.3199 0.2216 0.7236
B1 0.1819 0.7196 0.2742
B2 0.3871 0.7340 0.6665
O1 0.0146 0.2205 0.6275
O2 0.2043 0.5722 0.1662
O3 0.2268 0.1717 0.0047
O4 0.2597 0.5606 0.6848
O5 0.2748 0.8907 0.7418
O6 0.3449 0.8345 0.3080
O7 0.3996 0.2554 0.4161
```


6.
The following is a DFT calculation (GGA-PBEsol) of Bi2B8O15 after structural relaxation.

Values from the calculation:
- Energy relative to the elements, uncorrected: -2.219 eV per atom
- VASP energy: -7.957 eV per atom
- N(E_F): 0.000 states/eV/f.u.

Cell and atoms, written as CIF:
```
data_Bi2B8O15
_cell_length_a 4.3189
_cell_length_b 22.5091
_cell_length_c 6.4710
_cell_angle_alpha 90.00
_cell_angle_beta 104.79
_cell_angle_gamma 90.00
_symmetry_space_group_name_H-M 'P 1 21 1'
_symmetry_Int_Tables_number 4
loop_
_symmetry_equiv_pos_as_xyz
'x,y,z'
'-x,y+1/2,-z'
loop_
_atom_site_label
_atom_site_fract_x
_atom_site_fract_y
_atom_site_fract_z
Bi1 0.0755 0.0000 0.3860
Bi2 0.2928 0.1357 0.1570
B1 0.0352 0.1377 0.5732
B2 0.0492 0.3189 0.2794
B3 0.0664 0.2929 0.9268
B4 0.0991 0.2490 0.5819
B5 0.1640 0.8860 0.0100
B6 0.2463 0.4968 0.2425
B7 0.3319 0.9951 0.9764
B8 0.3871 0.6346 0.2098
O1 0.0616 0.0955 0.4069
O2 0.0745 0.1970 0.4754
O3 0.0820 0.0008 0.7747
O4 0.0839 0.3039 0.4864
O5 0.0970 0.8439 0.1500
O6 0.1002 0.8717 0.7939
O7 0.1389 0.2494 0.8015
O8 0.1602 0.2818 0.1441
O9 0.2127 0.6403 0.0028
O10 0.2823 0.6345 0.3908
O11 0.2857 0.1291 0.7740
O12 0.2888 0.9384 0.0898
O13 0.3079 0.0400 0.1362
O14 0.3506 0.4955 0.0605
O15 0.4218 0.4940 0.4497
```


7.
The following is a DFT calculation (GGA-PBEsol) of Bi4B3O12 after structural relaxation.

Values from the calculation:
- Energy relative to the elements, uncorrected: -1.572 eV per atom
- VASP energy: -6.897 eV per atom
- N(E_F): 9.103 states/eV/f.u.

Cell and atoms, written as CIF:
```
data_Bi4B3O12
_cell_length_a 9.7980
_cell_length_b 9.7980
_cell_length_c 9.7980
_cell_angle_alpha 90.00
_cell_angle_beta 90.00
_cell_angle_gamma 90.00
_symmetry_space_group_name_H-M 'I -4 3 d'
_symmetry_Int_Tables_number 220
_symmetry_space_group_name_Hall 'I -4bd 2c 3'
loop_
_atom_site_label
_atom_site_fract_x
_atom_site_fract_y
_atom_site_fract_z
Bi1 0.0743 0.4257 0.5743
B1 0.0000 0.2500 0.8750
O1 0.0437 0.3835 0.1984
```


8.
The following is a DFT calculation (GGA-PBEsol) of BiB3O6 after structural relaxation.

Values from the calculation:
- Energy relative to the elements, uncorrected: -2.215 eV per atom
- Energy above the most stable polymorph in this dataset: 6 kJ/mol of formula units
- VASP energy: -7.898 eV per atom
- N(E_F): 0.000 states/eV/f.u.

Cell and atoms, written as CIF:
```
data_BiB3O6
_cell_length_a 4.2549
_cell_length_b 11.7163
_cell_length_c 7.2377
_cell_angle_alpha 90.00
_cell_angle_beta 91.20
_cell_angle_gamma 90.00
_symmetry_space_group_name_H-M 'P 1 21/c 1'
_symmetry_Int_Tables_number 14
loop_
_symmetry_equiv_pos_as_xyz
'x,y,z'
'-x,-y,-z'
'-x,y+1/2,-z+1/2'
'x,-y+1/2,z+1/2'
loop_
_atom_site_label
_atom_site_fract_x
_atom_site_fract_y
_atom_site_fract_z
Bi1 0.1704 0.1150 0.3719
B1 0.1958 0.0932 0.8696
B2 0.3109 0.6244 0.4317
B3 0.3207 0.6625 0.7928
O1 0.1513 0.6260 0.6158
O2 0.1941 0.5284 0.3187
O3 0.2107 0.7211 0.3200
O4 0.2359 0.5811 0.9404
O5 0.3395 0.1610 0.7269
O6 0.3531 0.1163 0.0441
```


9.
The following is a DFT calculation (GGA-PBEsol) of BiB3O6 after structural relaxation.

Values from the calculation:
- Energy relative to the elements, uncorrected: -2.222 eV per atom
- Energy above the most stable polymorph in this dataset: 0 kJ/mol of formula units
- VASP energy: -7.905 eV per atom
- N(E_F): 0.000 states/eV/f.u.

Cell and atoms, written as CIF:
```
data_BiB3O6
_cell_length_a 18.4300
_cell_length_b 4.4523
_cell_length_c 4.2803
_cell_angle_alpha 90.00
_cell_angle_beta 90.00
_cell_angle_gamma 90.00
_symmetry_space_group_name_H-M 'P c a 21'
_symmetry_Int_Tables_number 29
loop_
_symmetry_equiv_pos_as_xyz
'x,y,z'
'-x,-y,z+1/2'
'-x+1/2,y,z+1/2'
'x+1/2,-y,z'
loop_
_atom_site_label
_atom_site_fract_x
_atom_site_fract_y
_atom_site_fract_z
Bi1 0.1618 0.1593 0.0000
B1 0.0017 0.8257 0.9269
B2 0.0728 0.6722 0.4523
B3 0.2129 0.6349 0.4776
O1 0.0179 0.8712 0.2808
O2 0.0606 0.3604 0.3774
O3 0.0686 0.7380 0.7844
O4 0.1461 0.7570 0.3419
O5 0.2117 0.3071 0.4723
O6 0.2236 0.7458 0.7981
```


10.
The following is a DFT calculation (GGA-PBEsol) of Bi6B10O21 after structural relaxation.

Values from the calculation:
- Energy relative to the elements, uncorrected: -1.936 eV per atom
- VASP energy: -7.507 eV per atom

Cell and atoms, written as CIF:
```
data_Bi6B10O21
_cell_length_a 6.8163
_cell_length_b 7.2109
_cell_length_c 10.5192
_cell_angle_alpha 75.85
_cell_angle_beta 86.58
_cell_angle_gamma 65.73
_symmetry_space_group_name_H-M 'P -1'
_symmetry_Int_Tables_number 2
loop_
_symmetry_equiv_pos_as_xyz
'x,y,z'
'-x,-y,-z'
loop_
_atom_site_label
_atom_site_fract_x
_atom_site_fract_y
_atom_site_fract_z
Bi1 0.1302 0.2427 0.1354
Bi2 0.2160 0.0011 0.9268
Bi3 0.2711 0.2846 0.5676
B1 0.1413 0.6436 0.2711
B2 0.1489 0.7964 0.5311
B3 0.3666 0.4542 0.9073
B4 0.4107 0.7946 0.2294
B5 0.4652 0.5870 0.6855
O1 0.0000 0.0000 0.5000
O2 0.0716 0.3234 0.7434
O3 0.0915 0.6397 0.5163
O4 0.1849 0.8189 0.2342
O5 0.2234 0.4896 0.0048
O6 0.3038 0.4433 0.3129
O7 0.3503 0.7622 0.5769
O8 0.3615 0.6219 0.8086
O9 0.4364 0.9718 0.2486
O10 0.4654 0.3906 0.6668
O11 0.4884 0.7475 0.0978
```


11.
The following is a DFT calculation (GGA-PBEsol) of BiBPbO4 after structural relaxation.

Values from the calculation:
- Energy relative to the elements, uncorrected: -1.689 eV per atom
- VASP energy: -6.874 eV per atom
- N(E_F): 0.000 states/eV/f.u.

Cell and atoms, written as CIF:
```
data_BiBPbO4
_cell_length_a 11.0555
_cell_length_b 10.4554
_cell_length_c 7.3880
_cell_angle_alpha 90.00
_cell_angle_beta 90.00
_cell_angle_gamma 90.00
_symmetry_space_group_name_H-M 'C m c e'
_symmetry_Int_Tables_number 64
_symmetry_space_group_name_Hall '-C 2ac 2'
loop_
_atom_site_label
_atom_site_fract_x
_atom_site_fract_y
_atom_site_fract_z
Bi1 0.1591 0.0000 0.0000
B1 0.2500 0.2398 0.2500
Pb1 0.0000 0.1841 0.6026
O1 0.0000 0.1069 0.8999
O2 0.1449 0.1727 0.2093
O3 0.2500 0.1287 0.7500
```